Model a:
10
Lattice="-1.371 6.013 1.763 -3.587 -2.233 4.826 3.059 0.027 2.286" Properties=species:S:1:pos:R:3 comment="AgHg2H2 PBE-GGA relaxed" crystal_system=tetragonal pbc="T T T"
Hg -2.371 2.172 6.336
Hg 0.472 1.635 2.539
Hg -1.097 -0.468 4.663
Hg -0.802 4.275 4.212
H -1.074 1.559 1.419
H -2.664 -0.453 3.569
H -3.884 2.220 5.170
H -2.294 4.233 3.020
Ag 0.000 0.000 0.000
Ag -2.479 1.890 3.294



Model b:
5
Lattice="3.267 0.000 0.000 0.000 3.267 0.000 1.633 1.633 6.855" Properties=species:S:1:pos:R:3 comment="AgHg2H2 PBE-GGA relaxed" crystal_system=tetragonal pbc="T T T"
Ag 0.000 0.000 0.000
Hg 3.267 3.267 4.896
Hg 1.633 1.633 1.959
H 3.267 1.633 3.428
H 1.633 3.267 3.428



Stability check: which of them is least stable? model b.